No. 1
{
  "formula": "Cs2VCrSi",
  "functional": "PBE",
  "state": "relaxed",
  "lattice": [[6.5250, 0.0000, 0.0000], [0.0000, 3.9985, 0.0000], [0.0000, 0.0000, 6.5250]],
  "species": ["Cs", "Cs", "Cr", "Si", "V"],
  "frac_coords": [[0.0000, 0.0000, 0.5000], [0.5000, 0.0000, 0.0000], [0.0000, 0.0000, 0.0000], [0.5000, 0.5000, 0.5000], [0.0000, 0.5000, 0.0000]],
  "e_form_raw_mev_per_atom": 1672,
  "n_ef_per_ev_cell": 4.05,
  "e_tot_ev_per_atom": -3.5023,
  "spacegroup": "No. 123"
}

=====

No. 2
{
  "formula": "Er4SiSe2",
  "functional": "PBE",
  "state": "relaxed",
  "lattice": [[-1.5986, 3.4397, -1.2222], [-5.0043, -3.7082, 2.6059], [2.3210, 5.3849, 12.1197]],
  "species": ["Er", "Er", "Er", "Er", "Er", "Er", "Er", "Er", "Si", "Si", "Se", "Se", "Se", "Se"],
  "frac_coords": [[0.7828, 0.5655, 0.1290], [0.7828, 0.5655, 0.3710], [0.2172, 0.4345, 0.8710], [0.2172, 0.4345, 0.6290], [0.9490, 0.8980, 0.7500], [0.0510, 0.1020, 0.2500], [0.5000, 0.0000, 0.0000], [0.5000, 0.0000, 0.5000], [0.6050, 0.2099, 0.7500], [0.3950, 0.7901, 0.2500], [0.1403, 0.2806, 0.4369], [0.8597, 0.7194, 0.9369], [0.1403, 0.2806, 0.0631], [0.8597, 0.7194, 0.5631]],
  "e_form_raw_mev_per_atom": -1186,
  "n_ef_per_ev_cell": 9.14,
  "e_tot_ev_per_atom": -5.5634,
  "spacegroup": "No. 63"
}

=====

No. 3
{
  "formula": "KAlPb2F8",
  "functional": "PBE",
  "state": "relaxed",
  "lattice": [[-4.4989, -2.7562, 0.7304], [1.2409, -3.9064, -3.3489], [3.5304, -4.8578, 3.9512]],
  "species": ["K", "Al", "Pb", "Pb", "F", "F", "F", "F", "F", "F", "F", "F"],
  "frac_coords": [[0.0000, 0.0000, 0.5000], [0.0000, 0.0000, 0.0000], [0.4758, 0.3882, 0.7796], [0.5242, 0.6118, 0.2204], [0.9783, 0.7170, 0.2157], [0.7211, 0.9240, 0.8888], [0.7999, 0.2107, 0.1183], [0.0217, 0.2830, 0.7843], [0.2789, 0.0760, 0.1112], [0.2001, 0.7893, 0.8817], [0.5714, 0.7339, 0.5019], [0.4286, 0.2661, 0.4981]],
  "e_form_raw_mev_per_atom": -2835,
  "n_ef_per_ev_cell": 0.00,
  "e_tot_ev_per_atom": -5.1040,
  "spacegroup": "No. 2"
}

=====

No. 4
{
  "formula": "NpAgPbAu",
  "functional": "PBE",
  "state": "relaxed",
  "lattice": [[-4.4758, -2.2713, 0.8746], [-0.3515, -3.6656, 3.5208], [-2.4956, 0.8803, 4.3535]],
  "species": ["Np", "Pb", "Au", "Ag"],
  "frac_coords": [[0.0000, 0.0000, 0.0000], [0.5000, 0.5000, 0.5000], [0.7500, 0.7500, 0.7500], [0.2500, 0.2500, 0.2500]],
  "delta_e_f_ev_per_atom": 0.0637,
  "n_ef_per_ev_cell": 9.41,
  "e_tot_ev_per_atom": -5.6307,
  "spacegroup": "No. 216"
}

=====

No. 5
{
  "formula": "Cs5PbF8",
  "functional": "PBE",
  "state": "relaxed",
  "lattice": [[-4.6536, -3.6286, 4.6090], [5.7902, -4.3785, -1.8356], [2.3977, 6.1370, 3.5573]],
  "species": ["Cs", "Cs", "Cs", "Cs", "Cs", "Pb", "F", "F", "F", "F", "F", "F", "F", "F"],
  "frac_coords": [[0.9893, 0.3732, 0.1208], [0.8792, 0.8685, 0.2524], [0.7476, 0.6268, 0.6161], [0.5000, 0.0000, 0.5000], [0.3839, 0.1315, 0.0107], [0.2500, 0.5000, 0.7500], [0.1191, 0.6935, 0.9576], [0.0424, 0.1615, 0.7359], [0.8554, 0.2840, 0.4494], [0.5506, 0.4060, 0.8346], [0.4286, 0.5940, 0.1446], [0.5744, 0.8385, 0.8809], [0.2641, 0.3065, 0.4256], [0.1654, 0.7160, 0.5714]],
  "e_form_raw_mev_per_atom": -2476,
  "n_ef_per_ev_cell": 3.89,
  "e_tot_ev_per_atom": -4.1150,
  "spacegroup": "No. 82"
}

=====

No. 6
{
  "formula": "YGaCoRu",
  "functional": "PBE",
  "state": "relaxed",
  "lattice": [[4.4867, 0.0000, 0.0000], [2.2433, 3.8856, 0.0000], [2.2433, 1.2952, 3.6634]],
  "species": ["Y", "Ru", "Co", "Ga"],
  "frac_coords": [[0.7500, 0.7500, 0.7500], [0.5000, 0.5000, 0.5000], [0.0000, 0.0000, 0.0000], [0.2500, 0.2500, 0.2500]],
  "delta_e_f_ev_per_atom": -0.1953,
  "n_ef_per_ev_cell": 5.32,
  "e_tot_ev_per_atom": -6.6635,
  "spacegroup": "No. 216"
}

=====

No. 7
{
  "formula": "SbCl2",
  "functional": "PBE",
  "state": "relaxed",
  "lattice": [[-3.4483, 3.4483, 3.1257], [3.4483, -3.4483, 3.1257], [3.4483, 3.4483, -3.1257]],
  "species": ["Sb", "Sb", "Cl", "Cl", "Cl", "Cl"],
  "frac_coords": [[0.2500, 0.2500, 0.0000], [0.7500, 0.7500, 0.0000], [0.8196, 0.3196, 0.1392], [0.1804, 0.6804, 0.8608], [0.3196, 0.1804, 0.5000], [0.6804, 0.8196, 0.5000]],
  "e_form_raw_mev_per_atom": -393,
  "n_ef_per_ev_cell": 2.78,
  "e_tot_ev_per_atom": -2.9981,
  "spacegroup": "No. 140"
}

=====

No. 8
{
  "formula": "Cs4HCl3",
  "functional": "PBE",
  "state": "relaxed",
  "lattice": [[-4.3836, 2.2274, 0.1607], [-1.7571, -3.9867, 7.3291], [3.8363, 7.4296, 1.6676]],
  "species": ["Cs", "Cs", "Cs", "Cs", "H", "Cl", "Cl", "Cl"],
  "frac_coords": [[0.0000, 0.2395, 0.2395], [0.5000, 0.7567, 0.2433], [0.0000, 0.7605, 0.7605], [0.5000, 0.2433, 0.7567], [0.5000, 0.0000, 0.0000], [0.0000, 0.0000, 0.5000], [0.5000, 0.5000, 0.5000], [0.0000, 0.5000, 0.0000]],
  "n_ef_per_ev_cell": 0.00,
  "e_tot_ev_per_atom": -3.0494,
  "spacegroup": "No. 65"
}